1.
# CaCu4As2, PBEsol geometry, DFT meta-GGA SCAN
# DFT formation energy = -0.406 eV per atom
data_CaCu4As2
_symmetry_space_group_name_H-M 'R -3 m'
_symmetry_Int_Tables_number 166
_symmetry_space_group_name_Hall '-R 3 2"'
_cell_length_a 4.0902
_cell_length_b 4.0902
_cell_length_c 22.3475
_cell_angle_alpha 90.00
_cell_angle_beta 90.00
_cell_angle_gamma 120.00
loop_
_atom_site_label
_atom_site_type_symbol
_atom_site_fract_x
_atom_site_fract_y
_atom_site_fract_z
Ca1 Ca 0.0000 0.0000 0.0000
Cu1 Cu 0.0000 0.0000 0.1445
Cu2 Cu 0.0000 0.0000 0.4385
As1 As 0.0000 0.0000 0.2531

2.
# Mn3O2F4, PBEsol geometry, DFT meta-GGA SCAN
# ΔE_f (raw) = -2.588 eV per atom
data_Mn3O2F4
_symmetry_space_group_name_H-M 'P m n 21'
_symmetry_Int_Tables_number 31
_cell_length_a 9.496
_cell_length_b 4.660
_cell_length_c 4.611
_cell_angle_alpha 90.00
_cell_angle_beta 90.00
_cell_angle_gamma 90.00
loop_
_symmetry_equiv_pos_as_xyz
'x,y,z'
'-x+1/2,-y,z+1/2'
'-x,y,z'
'x+1/2,-y,z+1/2'
loop_
_atom_site_label
_atom_site_type_symbol
_atom_site_fract_x
_atom_site_fract_y
_atom_site_fract_z
Mn1 Mn 0.000 0.248 0.000
Mn2 Mn 0.175 0.710 0.465
O1 O 0.167 0.438 0.159
F1 F 0.000 0.513 0.657
F2 F 0.000 0.908 0.286
F3 F 0.157 0.019 0.766

3.
# Na2CrNiF7, PBEsol geometry, DFT meta-GGA SCAN
# ΔE_f (raw) = -2.884 eV per atom
data_Na2CrNiF7
_symmetry_space_group_name_H-M 'I m m a'
_symmetry_Int_Tables_number 74
_symmetry_space_group_name_Hall '-I 2b 2'
_cell_length_a 7.124
_cell_length_b 10.164
_cell_length_c 7.372
_cell_angle_alpha 90.00
_cell_angle_beta 90.00
_cell_angle_gamma 90.00
loop_
_atom_site_label
_atom_site_type_symbol
_atom_site_fract_x
_atom_site_fract_y
_atom_site_fract_z
Na1 Na 0.000 0.000 0.000
Na2 Na 0.250 0.250 0.250
Cr1 Cr 0.000 0.000 0.500
Ni1 Ni 0.250 0.250 0.750
F1 F 0.000 0.091 0.272
F2 F 0.000 0.250 0.859
F3 F 0.200 0.116 0.563

4.
# CrPt5, PBEsol geometry, DFT meta-GGA SCAN
# DFT formation energy = -0.145 eV per atom
data_CrPt5
_symmetry_space_group_name_H-M 'A m m 2'
_symmetry_Int_Tables_number 38
_cell_length_a 4.544
_cell_length_b 2.734
_cell_length_c 14.090
_cell_angle_alpha 90.00
_cell_angle_beta 90.00
_cell_angle_gamma 90.00
loop_
_symmetry_equiv_pos_as_xyz
'x,y,z'
'-x,-y,z'
'-x,y,z'
'x,-y,z'
'x,y+1/2,z+1/2'
'-x,-y+1/2,z+1/2'
'-x,y+1/2,z+1/2'
'x,-y+1/2,z+1/2'
loop_
_atom_site_label
_atom_site_type_symbol
_atom_site_fract_x
_atom_site_fract_y
_atom_site_fract_z
Cr1 Cr 0.000 0.000 0.000
Pt1 Pt 0.000 0.000 0.341
Pt2 Pt 0.000 0.000 0.660
Pt3 Pt 0.500 0.000 0.222
Pt4 Pt 0.500 0.000 0.553
Pt5 Pt 0.500 0.000 0.889

no.,total moment (μB per formula unit)
1,0.0
2,13.0
3,5.0
4,3.0